# Mg3TlPb12 | the Alexandria database | PBE | relaxed
# density: 9.6 g/cm³
# calculated total energy: -3.23 eV/atom
# spin magnetization: 0.00 μB per formula unit
# formation energy from the elements: -0.03 eV per formula unit
data_Mg3TlPb12
_cell_length_a 4.871
_cell_length_b 4.871
_cell_length_c 20.069
_cell_angle_alpha 90.00
_cell_angle_beta 90.00
_cell_angle_gamma 90.00
_space_group_name_H-M_alt 'P 4/m m m'
_space_group_IT_number 123
_space_group_name_Hall '-P 4 2'
loop_
_atom_site_label
_atom_site_fract_x
_atom_site_fract_y
_atom_site_fract_z
Mg1 0.000 0.000 0.000
Mg2 0.000 0.000 0.249
Tl1 0.000 0.000 0.500
Pb1 0.000 0.500 0.123
Pb2 0.000 0.500 0.369
Pb3 0.500 0.500 0.000
Pb4 0.500 0.500 0.246
Pb5 0.500 0.500 0.500


# CsNb | the Alexandria database | PBE | relaxed
# density: 3.6 g/cm³
# calculated total energy: -4.07 eV/atom
# distance to the lowest polymorph of the same formula: 0.991 eV/f.u.
# spin magnetization: 0.00 μB per formula unit
# formation energy from the elements: 2.79 eV per formula unit
data_CsNb
_cell_length_a 15.736
_cell_length_b 15.736
_cell_length_c 3.340
_cell_angle_alpha 90.00
_cell_angle_beta 90.00
_cell_angle_gamma 90.00
_space_group_name_H-M_alt 'I 4/m m m'
_space_group_IT_number 139
_space_group_name_Hall '-I 4 2'
loop_
_atom_site_label
_atom_site_fract_x
_atom_site_fract_y
_atom_site_fract_z
Cs1 0.000 0.278 0.000
Nb1 0.209 0.209 0.000


# LaScTl | the Alexandria database | PBE | relaxed
# density: 6.3 g/cm³
# calculated total energy: -4.09 eV/atom
# distance to the lowest polymorph of the same formula: 2.223 eV/f.u.
# spin magnetization: 0.41 μB per formula unit
# formation energy from the elements: 1.35 eV per formula unit
data_LaScTl
_cell_length_a 7.418
_cell_length_b 7.418
_cell_length_c 7.418
_cell_angle_alpha 90.00
_cell_angle_beta 90.00
_cell_angle_gamma 90.00
_space_group_name_H-M_alt 'F -4 3 m'
_space_group_IT_number 216
_space_group_name_Hall 'F -4 2 3'
loop_
_atom_site_label
_atom_site_fract_x
_atom_site_fract_y
_atom_site_fract_z
La1 0.000 0.000 0.000
Sc1 0.250 0.250 0.250
Tl1 0.250 0.250 0.750